1.
A relaxed YTlCl crystal, computed with GGA-PBE.

Cell: 8.7182 8.3495 3.6455 Å, 83.40 72.06 24.54°
Fractional coordinates of all 3 atoms:
Tl 0.3119 0.3119 0.6881
Cl 0.0347 0.0347 0.9653
Y 0.6534 0.6534 0.3466

The symmetry is No. 42. The formation energy (no corrections) comes out at -0.789 eV/atom. As for the crystal system: orthorhombic.

***

2.
A relaxed Y2Tl5Cl12 crystal, computed with GGA-PBE.

Cell: 7.5100 9.4344 9.4344 Å, 63.15 77.46 77.46°
Fractional coordinates of all 19 atoms:
Cl 0.2490 0.9019 0.2890
Cl 0.1823 0.9234 0.9234
Cl 0.8177 0.0766 0.0766
Cl 0.8081 0.4750 0.4750
Cl 0.2080 0.5357 0.1445
Cl 0.7510 0.7110 0.0981
Cl 0.1919 0.5250 0.5250
Cl 0.7920 0.4643 0.8555
Cl 0.2080 0.1445 0.5357
Cl 0.2490 0.2890 0.9019
Cl 0.7920 0.8555 0.4643
Cl 0.7510 0.0981 0.7110
Y 0.0000 0.2524 0.7476
Y 0.0000 0.7476 0.2524
Tl 0.5000 0.0000 0.0000
Tl 0.9969 0.2444 0.2444
Tl 0.5038 0.3555 0.3555
Tl 0.0031 0.7556 0.7556
Tl 0.4962 0.6445 0.6445

The symmetry is No. 12. The formation energy (no corrections) comes out at -1.463 eV/atom. As for the crystal system: monoclinic.

***

3.
A relaxed YTlCl crystal, computed with GGA-PBE.

Cell: 4.7985 4.7985 4.0702 Å, 90.00 90.00 120.00°
Fractional coordinates of all 3 atoms:
Cl 0.0000 0.0000 0.8333
Y 0.3333 0.6667 0.8334
Tl 0.6667 0.3333 0.3333

The symmetry is No. 187. The formation energy (no corrections) comes out at -0.737 eV/atom. As for the crystal system: hexagonal.

***

4.
A relaxed YTl4Cl7 crystal, computed with GGA-PBE.

Cell: 5.2464 7.6327 11.4905 Å, 111.67 103.20 90.00°
Fractional coordinates of all 12 atoms:
Tl 0.4139 0.4606 0.8278
Tl 0.3047 0.8559 0.6094
Tl 0.5861 0.5394 0.1722
Tl 0.6953 0.1441 0.3906
Cl 0.8935 0.6885 0.7869
Cl 0.2780 0.2200 0.5560
Cl 0.9263 0.2001 0.8527
Cl 0.1065 0.3115 0.2131
Cl 0.7220 0.7800 0.4440
Cl 0.5000 0.0000 0.0000
Cl 0.0737 0.7999 0.1473
Y 0.0000 0.0000 0.0000

The symmetry is No. 12. The formation energy (no corrections) comes out at -1.431 eV/atom. As for the crystal system: monoclinic.

***

5.
A relaxed YTlCl4 crystal, computed with GGA-PBE.

Cell: 6.6790 7.3704 8.8918 Å, 103.63 112.06 90.00°
Fractional coordinates of all 12 atoms:
Y 0.5000 0.0000 0.5000
Y 0.0000 0.5000 0.5000
Cl 0.8698 0.8348 0.6083
Cl 0.4931 0.9565 0.1989
Cl 0.7058 0.4565 0.1989
Cl 0.2615 0.6652 0.3917
Cl 0.5069 0.0435 0.8011
Cl 0.1302 0.1652 0.3917
Cl 0.7385 0.3348 0.6083
Cl 0.2942 0.5435 0.8011
Tl 0.7504 0.7500 0.0000
Tl 0.2496 0.2500 0.0000

The symmetry is No. 15. The formation energy (no corrections) comes out at -1.861 eV/atom. As for the crystal system: monoclinic.

***

6.
A relaxed Y2Tl3Cl9 crystal, computed with GGA-PBE.

Cell: 9.6694 9.6694 9.6694 Å, 84.99 84.99 84.99°
Fractional coordinates of all 28 atoms:
Cl 0.0627 0.9206 0.2771
Cl 0.9021 0.7500 0.5979
Cl 0.7229 0.9373 0.0794
Cl 0.0979 0.2500 0.4021
Cl 0.2771 0.0627 0.9206
Cl 0.4373 0.2229 0.5794
Cl 0.7771 0.4206 0.5627
Cl 0.4021 0.0979 0.2500
Cl 0.9373 0.0794 0.7229
Cl 0.9206 0.2771 0.0627
Cl 0.2229 0.5794 0.4373
Cl 0.5627 0.7771 0.4206
Cl 0.7500 0.5979 0.9021
Cl 0.5979 0.9021 0.7500
Cl 0.0794 0.7229 0.9373
Cl 0.2500 0.4021 0.0979
Cl 0.5794 0.4373 0.2229
Cl 0.4206 0.5627 0.7771
Tl 0.5512 0.2500 0.9488
Tl 0.2500 0.9488 0.5512
Tl 0.7500 0.0512 0.4488
Tl 0.9488 0.5512 0.2500
Tl 0.0512 0.4488 0.7500
Tl 0.4488 0.7500 0.0512
Y 0.6445 0.6445 0.6445
Y 0.3555 0.3555 0.3555
Y 0.8555 0.8555 0.8555
Y 0.1445 0.1445 0.1445

The symmetry is No. 167. The formation energy (no corrections) comes out at -1.731 eV/atom. As for the crystal system: trigonal.

***

7.
A relaxed YTlCl crystal, computed with GGA-PBE.

Cell: 6.5965 6.5965 6.5965 Å, 148.11 148.11 45.73°
Fractional coordinates of all 3 atoms:
Cl 0.0425 0.0425 0.0000
Tl 0.3270 0.3270 0.0000
Y 0.6305 0.6305 0.0000

The symmetry is No. 107. The formation energy (no corrections) comes out at -0.805 eV/atom. As for the crystal system: tetragonal.

***

8.
A relaxed YTlCl4 crystal, computed with GGA-PBE.

Cell: 5.9670 5.9670 5.9670 Å, 60.00 60.00 60.00°
Fractional coordinates of all 6 atoms:
Cl 0.3744 0.3744 0.3744
Cl 0.3744 0.8768 0.3744
Cl 0.3744 0.3744 0.8768
Cl 0.8768 0.3744 0.3744
Y 0.0000 0.0000 0.0000
Tl 0.7500 0.7500 0.7500

The symmetry is No. 216. The formation energy (no corrections) comes out at -0.374 eV/atom. As for the crystal system: cubic.

***

9.
A relaxed Y2TlCl7 crystal, computed with GGA-PBE.

Cell: 5.2894 8.0458 8.0458 Å, 116.08 90.00 90.00°
Fractional coordinates of all 10 atoms:
Cl 0.0000 0.7064 0.2936
Cl 0.5000 0.6731 0.9514
Cl 0.5000 0.0486 0.3269
Cl 0.5000 0.5000 0.5000
Cl 0.5000 0.9514 0.6731
Cl 0.0000 0.2936 0.7064
Cl 0.5000 0.3269 0.0486
Y 0.5000 0.6970 0.3030
Y 0.5000 0.3030 0.6970
Tl 0.0000 0.0000 0.0000

The symmetry is No. 65. The formation energy (no corrections) comes out at -2.006 eV/atom. As for the crystal system: orthorhombic.

***

10.
A relaxed YTlCl4 crystal, computed with GGA-PBE.

Cell: 8.1639 6.7323 9.4015 Å, 115.29 119.42 80.84°
Fractional coordinates of all 12 atoms:
Cl 0.6548 0.4771 0.9157
Cl 0.2610 0.9386 0.9157
Cl 0.7390 0.0614 0.0843
Cl 0.8609 0.7279 0.4080
Cl 0.1391 0.2721 0.5920
Cl 0.4528 0.8199 0.5920
Cl 0.5472 0.1801 0.4080
Cl 0.3452 0.5229 0.0843
Y 0.5820 0.8320 0.1639
Y 0.4180 0.1680 0.8361
Tl 0.1576 0.4076 0.3152
Tl 0.8424 0.5924 0.6848

The symmetry is No. 15. The formation energy (no corrections) comes out at -1.872 eV/atom. As for the crystal system: monoclinic.

***

11.
A relaxed Y2TlZnCl crystal, computed with GGA-PBE.

Cell: 5.5375 4.9917 5.5375 Å, 90.00 90.00 90.00°
Fractional coordinates of all 5 atoms:
Cl 0.0000 0.5000 0.0000
Y 0.0000 0.0000 0.5000
Y 0.5000 0.0000 0.0000
Tl 0.5000 0.5000 0.5000
Zn 0.0000 0.0000 0.0000

The symmetry is No. 123. The formation energy (no corrections) comes out at 0.119 eV/atom. As for the crystal system: tetragonal.

***

12.
A relaxed TlZnCl3 crystal, computed with GGA-PBE.

Cell: 5.0562 7.8622 7.8650 Å, 74.73 89.13 89.13°
Fractional coordinates of all 10 atoms:
Cl 0.9735 0.6225 0.4744
Cl 0.5112 0.8691 0.7214
Cl 0.5112 0.2820 0.3079
Cl 0.5111 0.3539 0.7928
Cl 0.9734 0.5503 0.9892
Cl 0.9736 0.0354 0.0609
Tl 0.9679 0.1592 0.5982
Tl 0.5176 0.7451 0.1841
Zn 0.7420 0.2800 0.0630
Zn 0.7419 0.6243 0.7191

The symmetry is No. 12. The formation energy (no corrections) comes out at -1.106 eV/atom. As for the crystal system: monoclinic.

***

13.
A relaxed TlZnCl2 crystal, computed with GGA-PBE.

Cell: 10.3132 10.3132 10.3132 Å, 19.98 19.98 19.98°
Fractional coordinates of all 4 atoms:
Cl 0.0373 0.0373 0.0373
Cl 0.4627 0.4627 0.4627
Zn 0.7500 0.7500 0.7500
Tl 0.2500 0.2500 0.2500

The symmetry is No. 166. The formation energy (no corrections) comes out at -0.691 eV/atom. As for the crystal system: trigonal.

***

14.
A relaxed Tl2ZnCl4 crystal, computed with GGA-PBE.

Cell: 7.0893 7.2131 9.1176 Å, 90.00 109.32 90.00°
Fractional coordinates of all 14 atoms:
Cl 0.5067 0.0009 0.7262
Cl 0.0716 0.7500 0.3543
Cl 0.9284 0.2500 0.6457
Cl 0.4933 0.5009 0.2738
Cl 0.5067 0.4991 0.7262
Cl 0.4933 0.9991 0.2738
Cl 0.8903 0.2500 0.0513
Cl 0.1097 0.7500 0.9487
Tl 0.2935 0.2500 0.9599
Tl 0.2201 0.2500 0.4281
Tl 0.7065 0.7500 0.0401
Tl 0.7799 0.7500 0.5719
Zn 0.7206 0.2500 0.7902
Zn 0.2794 0.7500 0.2098

The symmetry is No. 11. The formation energy (no corrections) comes out at -1.102 eV/atom. As for the crystal system: monoclinic.

***

15.
A relaxed Tl2Zn3Cl8 crystal, computed with GGA-PBE.

Cell: 9.2750 6.2869 8.9523 Å, 112.20 121.20 90.00°
Fractional coordinates of all 13 atoms:
Cl 0.8651 0.1686 0.7302
Cl 0.6939 0.6539 0.8168
Cl 0.1349 0.8314 0.2698
Cl 0.3061 0.3461 0.1832
Cl 0.8771 0.3461 0.1832
Cl 0.4002 0.0581 0.8005
Cl 0.5998 0.9419 0.1995
Cl 0.1229 0.6539 0.8168
Zn 0.3247 0.0000 0.0000
Zn 0.6753 0.0000 0.0000
Zn 0.0000 0.5000 0.0000
Tl 0.2602 0.3733 0.5203
Tl 0.7398 0.6267 0.4797

The symmetry is No. 12. The formation energy (no corrections) comes out at -1.082 eV/atom. As for the crystal system: monoclinic.

***

16.
A relaxed TlZnCl2 crystal, computed with GGA-PBE.

Cell: 5.2340 5.2340 5.2340 Å, 120.06 120.06 89.89°
Fractional coordinates of all 4 atoms:
Tl 0.2500 0.7500 0.5000
Zn 0.7500 0.2500 0.5000
Cl 0.0000 0.0000 0.0000
Cl 0.5000 0.5000 0.0000

The symmetry is No. 225. The formation energy (no corrections) comes out at -0.444 eV/atom. As for the crystal system: cubic.

***

17.
A relaxed TlZnCl3 crystal, computed with GGA-PBE.

Cell: 6.9954 10.0246 7.1575 Å, 90.00 90.00 90.00°
Fractional coordinates of all 20 atoms:
Cl 0.7408 0.9792 0.7064
Cl 0.2408 0.5208 0.7936
Cl 0.7592 0.4792 0.2064
Cl 0.9927 0.2500 0.5415
Cl 0.7408 0.5208 0.7064
Cl 0.0073 0.7500 0.4585
Cl 0.4927 0.2500 0.9585
Cl 0.5073 0.7500 0.0415
Cl 0.2408 0.9792 0.7936
Cl 0.7592 0.0208 0.2064
Cl 0.2592 0.4792 0.2936
Cl 0.2592 0.0208 0.2936
Zn 0.5000 0.0000 0.0000
Zn 0.0000 0.0000 0.5000
Zn 0.5000 0.5000 0.0000
Zn 0.0000 0.5000 0.5000
Tl 0.0199 0.2500 0.9972
Tl 0.9801 0.7500 0.0028
Tl 0.5199 0.2500 0.5028
Tl 0.4801 0.7500 0.4972

The symmetry is No. 62. The formation energy (no corrections) comes out at -1.015 eV/atom. As for the crystal system: orthorhombic.

***

18.
A relaxed TlZnCl3 crystal, computed with GGA-PBE.

Cell: 9.7333 9.7333 7.6732 Å, 90.00 90.00 132.94°
Fractional coordinates of all 10 atoms:
Cl 0.4335 0.0302 0.7500
Cl 0.9698 0.5665 0.7500
Cl 0.0302 0.4335 0.2500
Cl 0.5665 0.9698 0.2500
Cl 0.0000 0.0000 0.0000
Cl 0.0000 0.0000 0.5000
Zn 0.7130 0.2870 0.7500
Zn 0.2870 0.7130 0.2500
Tl 0.1078 0.8922 0.2500
Tl 0.8922 0.1078 0.7500

The symmetry is No. 63. The formation energy (no corrections) comes out at -0.817 eV/atom. As for the crystal system: orthorhombic.

***

19.
A relaxed TlZnCl2 crystal, computed with GGA-PBE.

Cell: 4.8760 4.1507 6.7225 Å, 64.85 90.00 90.00°
Fractional coordinates of all 4 atoms:
Cl 0.5000 0.2317 0.2910
Cl 0.0000 0.8606 0.8624
Tl 0.0000 0.6423 0.4216
Zn 0.5000 0.7654 0.9250

The symmetry is No. 6. The formation energy (no corrections) comes out at -0.652 eV/atom. As for the crystal system: monoclinic.

***

20.
A relaxed Tl2Zn2Cl7 crystal, computed with GGA-PBE.

Cell: 6.2711 7.7267 7.7267 Å, 102.89 96.79 96.79°
Fractional coordinates of all 11 atoms:
Cl 0.2229 0.0862 0.4032
Cl 0.7771 0.9138 0.5968
Cl 0.7771 0.5968 0.9138
Cl 0.7315 0.3862 0.3862
Cl 0.5000 0.0000 0.0000
Cl 0.2229 0.4032 0.0862
Cl 0.2685 0.6138 0.6138
Tl 0.0000 0.3010 0.6990
Tl 0.0000 0.6990 0.3010
Zn 0.5873 0.7747 0.7747
Zn 0.4127 0.2253 0.2253

The symmetry is No. 12. The formation energy (no corrections) comes out at -0.966 eV/atom. As for the crystal system: monoclinic.

***

21.
A relaxed Tl3ZnCl crystal, computed with GGA-PBE.

Cell: 5.8766 5.8766 5.8766 Å, 90.00 90.00 90.00°
Fractional coordinates of all 5 atoms:
Cl 0.0000 0.0000 0.0000
Zn 0.5000 0.5000 0.5000
Tl 0.5000 0.0000 0.0000
Tl 0.0000 0.0000 0.5000
Tl 0.0000 0.5000 0.0000

The symmetry is No. 221. The formation energy (no corrections) comes out at 0.072 eV/atom. As for the crystal system: cubic.

***

22.
A relaxed Tl3Zn2Cl8 crystal, computed with GGA-PBE.

Cell: 7.3009 7.3009 9.2999 Å, 66.89 66.89 60.00°
Fractional coordinates of all 13 atoms:
Cl 0.2623 0.2623 0.6972
Cl 0.7377 0.2218 0.3028
Cl 0.3157 0.3157 0.0530
Cl 0.6843 0.6843 0.9470
Cl 0.7782 0.2623 0.6972
Cl 0.2218 0.7377 0.3028
Cl 0.7377 0.7377 0.3028
Cl 0.2623 0.7782 0.6972
Zn 0.5931 0.5931 0.2207
Zn 0.4069 0.4069 0.7793
Tl 0.8002 0.8002 0.5995
Tl 0.0000 0.0000 0.0000
Tl 0.1998 0.1998 0.4005

The symmetry is No. 166. The formation energy (no corrections) comes out at -0.957 eV/atom. As for the crystal system: trigonal.